CaBr2 | PBE-GGA | optimized geometry

Summary:
For the final energy, the calculation gives -3.60 eV/atom. The value obtained for the formation energy from raw total energies is -1822 meV per atom. The density of states at the Fermi level is 0.0000 states/eV per atom. The space group is No. 140. The calculation puts the volume at 29.034 Å³/atom.

Geometry as POSCAR:
```
CaBr2
1.0
6.885 0.000 0.000
0.000 6.885 0.000
0.000 0.000 7.350
Ca Br
4 8
Direct
0.000 0.000 0.250 Ca
0.000 0.000 0.750 Ca
0.500 0.500 0.250 Ca
0.500 0.500 0.750 Ca
0.190 0.310 0.000 Br
0.190 0.690 0.500 Br
0.310 0.190 0.500 Br
0.310 0.810 0.000 Br
0.690 0.190 0.000 Br
0.690 0.810 0.500 Br
0.810 0.310 0.500 Br
0.810 0.690 0.000 Br
```